Record 1
Computed, not measured: a geometry-optimized U2GaF11 structure at the PBE level of DFT.

The structure in CIF format:
```
data_U2GaF11
_space_group_name_H-M_alt 'I b a m'
_space_group_IT_number 72
_space_group_name_Hall '-I 2 2c'
_cell_length_a 9.063
_cell_length_b 10.433
_cell_length_c 11.639
_cell_angle_alpha 90.00
_cell_angle_beta 90.00
_cell_angle_gamma 90.00
loop_
_atom_site_label
_atom_site_type_symbol
_atom_site_fract_x
_atom_site_fract_y
_atom_site_fract_z
_atom_site_occupancy
U1 U 0.155 0.173 0.000 1
Ga1 Ga 0.000 0.500 0.250 1
F1 F 0.000 0.000 0.000 1
F2 F 0.078 0.290 0.131 1
F3 F 0.156 0.213 0.500 1
F4 F 0.240 0.435 0.375 1
```

## Properties
E_form (uncorrected): -3270 meV/atom

---

Record 2
Computed, not measured: a geometry-optimized BaPdBr2 structure at the PBE level of DFT.

The structure in CIF format:
```
data_BaPdBr2
_space_group_name_H-M_alt 'F m -3 m'
_space_group_IT_number 225
_space_group_name_Hall '-F 4 2 3'
_cell_length_a 7.648
_cell_length_b 7.648
_cell_length_c 7.648
_cell_angle_alpha 90.00
_cell_angle_beta 90.00
_cell_angle_gamma 90.00
loop_
_atom_site_label
_atom_site_type_symbol
_atom_site_fract_x
_atom_site_fract_y
_atom_site_fract_z
_atom_site_occupancy
Ba1 Ba 0.000 0.000 0.000 1
Pd1 Pd 0.000 0.000 0.500 1
Br1 Br 0.250 0.250 0.250 1
```

## Properties
Offset from the most stable computed form: 0.00 eV/f.u.
E_form (uncorrected): -1091 meV/atom

---

Record 3
Computed, not measured: a geometry-optimized HoTh2ScSe4 structure at the PBE level of DFT.

The structure in CIF format:
```
data_HoTh2ScSe4
_space_group_name_H-M_alt 'P 1 2/m 1'
_space_group_IT_number 10
_cell_length_a 6.826
_cell_length_b 3.971
_cell_length_c 7.496
_cell_angle_alpha 90.00
_cell_angle_beta 107.95
_cell_angle_gamma 90.00
loop_
_space_group_symop_operation_xyz
'x,y,z'
'-x,-y,-z'
'-x,y,-z'
'x,-y,z'
loop_
_atom_site_label
_atom_site_type_symbol
_atom_site_fract_x
_atom_site_fract_y
_atom_site_fract_z
_atom_site_occupancy
Ho1 Ho 0.000 0.000 0.000 1
Th1 Th 0.000 0.500 0.500 1
Th2 Th 0.500 0.000 0.500 1
Sc1 Sc 0.500 0.500 0.000 1
Se1 Se 0.249 0.500 0.227 1
Se2 Se 0.266 0.000 0.777 1
```

## Properties
E_form (uncorrected): -1583 meV/atom

---

Record 4
Computed, not measured: a geometry-optimized Na2Al2Pb structure at the PBE level of DFT.

The structure in CIF format:
```
data_Na2Al2Pb
_space_group_name_H-M_alt 'I 4/m m m'
_space_group_IT_number 139
_space_group_name_Hall '-I 4 2'
_cell_length_a 3.716
_cell_length_b 3.716
_cell_length_c 20.074
_cell_angle_alpha 90.00
_cell_angle_beta 90.00
_cell_angle_gamma 90.00
loop_
_atom_site_label
_atom_site_type_symbol
_atom_site_fract_x
_atom_site_fract_y
_atom_site_fract_z
_atom_site_occupancy
Na1 Na 0.000 0.000 0.110 1
Al1 Al 0.000 0.500 0.250 1
Pb1 Pb 0.000 0.000 0.500 1
```

## Properties
E_form: 0.15 eV/atom
Offset from the most stable computed form: 0.00 eV/f.u.

---

Record 5
Computed, not measured: a geometry-optimized Ta3BH structure at the PBE level of DFT.

The structure in CIF format:
```
data_Ta3BH
_space_group_name_H-M_alt 'P -1'
_space_group_IT_number 2
_cell_length_a 3.239
_cell_length_b 5.521
_cell_length_c 7.710
_cell_angle_alpha 106.43
_cell_angle_beta 90.08
_cell_angle_gamma 107.03
loop_
_space_group_symop_operation_xyz
'x,y,z'
'-x,-y,-z'
loop_
_atom_site_label
_atom_site_type_symbol
_atom_site_fract_x
_atom_site_fract_y
_atom_site_fract_z
_atom_site_occupancy
Ta1 Ta 0.090 0.182 0.222 1
Ta2 Ta 0.152 0.304 0.604 1
Ta3 Ta 0.365 0.731 0.076 1
B1 B 0.490 0.979 0.608 1
H1 H 0.314 0.624 0.811 1
```

## Properties
Offset from the most stable computed form: 0.00 eV/f.u.

---

Record 6
Computed, not measured: a geometry-optimized Li4SiI2 structure at the PBE level of DFT.

The structure in CIF format:
```
data_Li4SiI2
_space_group_name_H-M_alt 'I 4/m m m'
_space_group_IT_number 139
_space_group_name_Hall '-I 4 2'
_cell_length_a 5.136
_cell_length_b 5.136
_cell_length_c 14.780
_cell_angle_alpha 90.00
_cell_angle_beta 90.00
_cell_angle_gamma 90.00
loop_
_atom_site_label
_atom_site_type_symbol
_atom_site_fract_x
_atom_site_fract_y
_atom_site_fract_z
_atom_site_occupancy
Li1 Li 0.000 0.000 0.174 1
Li2 Li 0.000 0.500 0.000 1
Si1 Si 0.000 0.000 0.000 1
I1 I 0.000 0.000 0.357 1
```

## Properties
E_form (uncorrected): -354 meV/atom

---

Record 7
Computed, not measured: a geometry-optimized Tb2Sm3YSe6 structure at the PBE level of DFT.

The structure in CIF format:
```
data_Tb2Sm3YSe6
_space_group_name_H-M_alt 'C 1 2/m 1'
_space_group_IT_number 12
_cell_length_a 7.116
_cell_length_b 12.402
_cell_length_c 7.191
_cell_angle_alpha 90.00
_cell_angle_beta 109.38
_cell_angle_gamma 90.00
loop_
_space_group_symop_operation_xyz
'x,y,z'
'-x,-y,-z'
'-x,y,-z'
'x,-y,z'
'x+1/2,y+1/2,z'
'-x+1/2,-y+1/2,-z'
'-x+1/2,y+1/2,-z'
'x+1/2,-y+1/2,z'
loop_
_atom_site_label
_atom_site_type_symbol
_atom_site_fract_x
_atom_site_fract_y
_atom_site_fract_z
_atom_site_occupancy
Tb1 Tb 0.000 0.167 0.000 1
Sm1 Sm 0.000 0.000 0.500 1
Sm2 Sm 0.000 0.333 0.500 1
Y1 Y 0.000 0.500 0.000 1
Se1 Se 0.247 0.334 0.242 1
Se2 Se 0.248 0.000 0.243 1
```

## Properties
E_form (uncorrected): -1797 meV/atom

---

Record 8
Computed, not measured: a geometry-optimized Co2TeCl structure at the PBE level of DFT.

The structure in CIF format:
```
data_Co2TeCl
_space_group_name_H-M_alt 'I -4 m 2'
_space_group_IT_number 119
_space_group_name_Hall 'I -4 -2'
_cell_length_a 3.574
_cell_length_b 3.574
_cell_length_c 12.390
_cell_angle_alpha 90.00
_cell_angle_beta 90.00
_cell_angle_gamma 90.00
loop_
_atom_site_label
_atom_site_type_symbol
_atom_site_fract_x
_atom_site_fract_y
_atom_site_fract_z
_atom_site_occupancy
Co1 Co 0.000 0.000 0.000 1
Co2 Co 0.000 0.500 0.250 1
Te1 Te 0.000 0.500 0.750 1
Cl1 Cl 0.000 0.000 0.500 1
```

## Properties
Offset from the most stable computed form: 2.39 eV/f.u.
E_form (uncorrected): 529 meV/atom

---

Record 9
Computed, not measured: a geometry-optimized Pu3HfTh2P6 structure at the PBE level of DFT.

The structure in CIF format:
```
data_Pu3HfTh2P6
_space_group_name_H-M_alt 'C 1 2/m 1'
_space_group_IT_number 12
_cell_length_a 6.969
_cell_length_b 12.070
_cell_length_c 6.885
_cell_angle_alpha 90.00
_cell_angle_beta 109.78
_cell_angle_gamma 90.00
loop_
_space_group_symop_operation_xyz
'x,y,z'
'-x,-y,-z'
'-x,y,-z'
'x,-y,z'
'x+1/2,y+1/2,z'
'-x+1/2,-y+1/2,-z'
'-x+1/2,y+1/2,-z'
'x+1/2,-y+1/2,z'
loop_
_atom_site_label
_atom_site_type_symbol
_atom_site_fract_x
_atom_site_fract_y
_atom_site_fract_z
_atom_site_occupancy
Pu1 Pu 0.000 0.000 0.000 1
Pu2 Pu 0.000 0.329 0.000 1
Hf1 Hf 0.000 0.500 0.500 1
Th1 Th 0.000 0.166 0.500 1
P1 P 0.231 0.500 0.247 1
P2 P 0.241 0.342 0.749 1
```

## Properties
E_form: -1.31 eV/atom

---

Record 10
Computed, not measured: a geometry-optimized Ag2Pt structure at the PBE level of DFT.

The structure in CIF format:
```
data_Ag2Pt
_space_group_name_H-M_alt 'C 1 m 1'
_space_group_IT_number 8
_cell_length_a 9.959
_cell_length_b 5.752
_cell_length_c 8.637
_cell_angle_alpha 90.00
_cell_angle_beta 124.85
_cell_angle_gamma 90.00
loop_
_space_group_symop_operation_xyz
'x,y,z'
'x,-y,z'
'x+1/2,y+1/2,z'
'x+1/2,-y+1/2,z'
loop_
_atom_site_label
_atom_site_type_symbol
_atom_site_fract_x
_atom_site_fract_y
_atom_site_fract_z
_atom_site_occupancy
Ag1 Ag 0.000 0.000 0.000 1
Ag2 Ag 0.006 0.500 0.007 1
Ag3 Ag 0.086 0.250 0.342 1
Ag4 Ag 0.174 0.000 0.677 1
Ag5 Ag 0.254 0.252 0.011 1
Ag6 Ag 0.337 0.000 0.343 1
Pt1 Pt 0.171 0.500 0.677 1
Pt2 Pt 0.338 0.500 0.348 1
Pt3 Pt 0.421 0.252 0.671 1
```

## Properties
E_form: 0.01 eV/atom
Offset from the most stable computed form: 0.08 eV/f.u.

---

Record 11
Computed, not measured: a geometry-optimized MoH2Rh structure at the PBE level of DFT.

The structure in CIF format:
```
data_MoH2Rh
_space_group_name_H-M_alt 'R 3 m'
_space_group_IT_number 160
_space_group_name_Hall 'R 3 -2"'
_cell_length_a 2.8501
_cell_length_b 2.8501
_cell_length_c 15.0611
_cell_angle_alpha 90.00
_cell_angle_beta 90.00
_cell_angle_gamma 120.00
loop_
_atom_site_label
_atom_site_type_symbol
_atom_site_fract_x
_atom_site_fract_y
_atom_site_fract_z
_atom_site_occupancy
Mo1 Mo 0.0000 0.0000 0.0000 1
H1 H 0.0000 0.0000 0.5778 1
H2 H 0.0000 0.0000 0.7520 1
Rh1 Rh 0.0000 0.0000 0.1793 1
```

## Properties
Offset from the most stable computed form: 0.74 eV/f.u.